Be2ZnRu | meta-GGA SCAN | single point on PBEsol structure

## Properties
- crystal system = tetragonal
- D(E_F) (states/eV/cell) = 2.37
- total magnetic moment (μB/f.u.) = 0.0
- energy relative to the elements (kJ/mol of atoms) = -9

Cell: 2.876 2.876 5.267 Å, 90.00 90.00 90.00°
Space group P4mm (No. 99)
Symmetry-distinct sites (fractional):
Be  0.000  0.000  0.000 x1
Be  0.500  0.500  0.227 x1
Zn  0.500  0.500  0.740 x1
Ru  0.000  0.000  0.437 x1


Gd2ZnIn | meta-GGA SCAN | single point on PBEsol structure

## Properties
- crystal system = cubic
- D(E_F) (states/eV/cell) = 4.65
- total magnetic moment (μB/f.u.) = 15.1
- energy relative to the elements (kJ/mol of atoms) = -48

Cell: 7.296 7.296 7.296 Å, 90.00 90.00 90.00°
Space group Fm-3m (No. 225)
Symmetry-distinct sites (fractional):
Gd  0.250  0.250  0.250 x8
Zn  0.000  0.000  0.000 x4
In  0.000  0.000  0.500 x4


AlRe3As | meta-GGA SCAN | single point on PBEsol structure

## Properties
- crystal system = cubic
- D(E_F) (states/eV/cell) = 2.28
- total magnetic moment (μB/f.u.) = 1.9
- energy relative to the elements (kJ/mol of atoms) = 145

Cell: 4.481 4.481 4.481 Å, 90.00 90.00 90.00°
Space group Pm-3m (No. 221)
Symmetry-distinct sites (fractional):
Al  0.000  0.000  0.000 x1
Re  0.000  0.500  0.500 x3
As  0.500  0.500  0.500 x1


LiCoC2O6 | meta-GGA SCAN | single point on PBEsol structure

## Properties
- crystal system = monoclinic
- total magnetic moment (μB/f.u.) = 2.0
- raw formation energy (kJ/mol of atoms) = -143

Cell: 4.830 7.652 6.257 Å, 90.00 105.38 90.00°
Space group P2_1 (No. 4)
Symmetry-distinct sites (fractional):
Li  0.149  0.000  0.143 x2
Co  0.495  0.049  0.739 x2
C  0.357  0.303  0.888 x2
C  0.373  0.290  0.380 x2
O  0.228  0.434  0.373 x2
O  0.231  0.150  0.882 x2
O  0.258  0.443  0.943 x2
O  0.290  0.140  0.425 x2
O  0.388  0.816  0.674 x2
O  0.406  0.791  0.175 x2


Mg2ScTc | meta-GGA SCAN | single point on PBEsol structure

## Properties
- crystal system = orthorhombic
- D(E_F) (states/eV/cell) = 1.98
- total magnetic moment (μB/f.u.) = 0.0
- energy relative to the elements (kJ/mol of atoms) = 11

Cell: 2.837 4.526 5.590 Å, 90.00 90.00 90.00°
Space group Pmmm (No. 47)
Symmetry-distinct sites (fractional):
Mg  0.000  0.000  0.232 x2
Sc  0.500  0.500  0.500 x1
Tc  0.500  0.500  0.000 x1


Sm2HgO4 | meta-GGA SCAN | single point on PBEsol structure

## Properties
- crystal system = monoclinic
- D(E_F) (states/eV/cell) = 0.00
- total magnetic moment (μB/f.u.) = 0.0
- raw formation energy (kJ/mol of atoms) = -274

Cell: 13.673 3.717 10.148 Å, 90.00 121.85 90.00°
Space group C2/m (No. 12)
Symmetry-distinct sites (fractional):
Sm  0.119  0.000  0.460 x4
Sm  0.161  0.500  0.800 x4
Hg  0.114  0.500  0.162 x4
O  0.035  0.500  0.281 x4
O  0.081  0.000  0.653 x4
O  0.203  0.500  0.056 x4
O  0.232  0.500  0.614 x4


TaSi2 | meta-GGA SCAN | single point on PBEsol structure

## Properties
- crystal system = hexagonal
- D(E_F) (states/eV/cell) = 3.32
- total magnetic moment (μB/f.u.) = 0.0
- raw formation energy (kJ/mol of atoms) = -40

Cell: 4.7563 4.7563 6.5652 Å, 90.00 90.00 120.00°
Space group P6_222 (No. 180)
Symmetry-distinct sites (fractional):
Ta  0.0000  0.5000  0.1667 x3
Si  0.1595  0.3191  0.5000 x6


Co5Si3 | meta-GGA SCAN | single point on PBEsol structure

## Properties
- crystal system = hexagonal
- D(E_F) (states/eV/cell) = 10.25
- total magnetic moment (μB/f.u.) = 4.5
- raw formation energy (kJ/mol of atoms) = -35

Cell: 6.5110 6.5110 4.6552 Å, 90.00 90.00 120.00°
Space group P6_3/mcm (No. 193)
Symmetry-distinct sites (fractional):
Co  0.0000  0.2479  0.2500 x6
Co  0.3333  0.6667  0.0000 x4
Si  0.0000  0.3953  0.7500 x6


Copy entry 8 word for word.
Co5Si3 | meta-GGA SCAN | single point on PBEsol structure

## Properties
- crystal system = hexagonal
- D(E_F) (states/eV/cell) = 10.25
- total magnetic moment (μB/f.u.) = 4.5
- raw formation energy (kJ/mol of atoms) = -35

Cell: 6.5110 6.5110 4.6552 Å, 90.00 90.00 120.00°
Space group P6_3/mcm (No. 193)
Symmetry-distinct sites (fractional):
Co  0.0000  0.2479  0.2500 x6
Co  0.3333  0.6667  0.0000 x4
Si  0.0000  0.3953  0.7500 x6